[1]
! PBE PbCSe2, relaxed; values from VASP
! Fermi-level density of states   0.311 states/eV per atom
! Relative energy among the computed polymorphs   0.084 eV/atom
! SG   I-42d
! Calculated total energy   -4.178 eV per atom
! Energy relative to the elements, uncorrected   0.80 eV per atom
! Volume   24.00 A^3/atom
&SYSTEM
  ibrav = 0, nat = 8, ntyp = 3
/
ATOMIC_SPECIES
Pb 207.20 Pb.upf
C 12.01 C.upf
Se 78.96 Se.upf
ATOMIC_POSITIONS crystal
Pb 0.0000 0.0000 0.0000
Pb 0.7500 0.2500 0.5000
C 0.2500 0.7500 0.5000
C 0.5000 0.5000 0.0000
Se 0.2464 0.6250 0.1214
Se 0.3750 0.4964 0.6214
Se 0.5036 0.1250 0.8786
Se 0.8750 0.7536 0.3786
CELL_PARAMETERS angstrom
-3.1934 3.1934 4.7079
3.1934 -3.1934 4.7079
3.1934 3.1934 -4.7079


[2]
! PBE PbCSe2, relaxed; values from VASP
! Fermi-level density of states   0.667 states/eV per atom
! Relative energy among the computed polymorphs   0.803 eV/atom
! SG   Fm-3m
! Calculated total energy   -3.458 eV per atom
! Energy relative to the elements, uncorrected   1.52 eV per atom
! Volume   20.94 A^3/atom
&SYSTEM
  ibrav = 0, nat = 4, ntyp = 3
/
ATOMIC_SPECIES
Pb 207.20 Pb.upf
C 12.01 C.upf
Se 78.96 Se.upf
ATOMIC_POSITIONS crystal
Pb 0.0000 0.0000 0.0000
C 0.5000 0.5000 0.5000
Se 0.2500 0.2500 0.2500
Se 0.7500 0.7500 0.7500
CELL_PARAMETERS angstrom
0.0000 3.4729 3.4729
3.4729 0.0000 3.4729
3.4729 3.4729 0.0000


[3]
! PBE Pb2C4Se, relaxed; values from VASP
! Fermi-level density of states   0.612 states/eV per atom
! SG   I4/mmm
! Calculated total energy   -4.364 eV per atom
! Energy relative to the elements, uncorrected   2.46 eV per atom
! Volume   15.32 A^3/atom
&SYSTEM
  ibrav = 0, nat = 7, ntyp = 3
/
ATOMIC_SPECIES
Pb 207.20 Pb.upf
C 12.01 C.upf
Se 78.96 Se.upf
ATOMIC_POSITIONS crystal
Pb 0.1531 0.1531 0.0000
Pb 0.8469 0.8469 0.0000
C 0.0000 0.5000 0.5000
C 0.3477 0.3477 0.0000
C 0.5000 0.0000 0.5000
C 0.6523 0.6523 0.0000
Se 0.5000 0.5000 0.0000
CELL_PARAMETERS angstrom
-2.0062 2.0062 6.6624
2.0062 -2.0062 6.6624
2.0062 2.0062 -6.6624


[4]
! PBE PbC3Se, relaxed; values from VASP
! Fermi-level density of states   0.850 states/eV per atom
! Relative energy among the computed polymorphs   0.794 eV/atom
! SG   Pm-3m
! Calculated total energy   -3.506 eV per atom
! Energy relative to the elements, uncorrected   3.47 eV per atom
! Volume   18.20 A^3/atom
&SYSTEM
  ibrav = 0, nat = 5, ntyp = 3
/
ATOMIC_SPECIES
Pb 207.20 Pb.upf
C 12.01 C.upf
Se 78.96 Se.upf
ATOMIC_POSITIONS crystal
Pb 0.0000 0.0000 0.0000
C 0.0000 0.0000 0.5000
C 0.0000 0.5000 0.0000
C 0.5000 0.0000 0.0000
Se 0.5000 0.5000 0.5000
CELL_PARAMETERS angstrom
4.4982 0.0000 0.0000
0.0000 4.4982 0.0000
0.0000 0.0000 4.4982


[5]
! PBE PbC3Se, relaxed; values from VASP
! Fermi-level density of states   0.783 states/eV per atom
! Relative energy among the computed polymorphs   0.000 eV/atom
! SG   Pm-3m
! Calculated total energy   -4.300 eV per atom
! Energy relative to the elements, uncorrected   2.67 eV per atom
! Volume   13.75 A^3/atom
&SYSTEM
  ibrav = 0, nat = 5, ntyp = 3
/
ATOMIC_SPECIES
Pb 207.20 Pb.upf
C 12.01 C.upf
Se 78.96 Se.upf
ATOMIC_POSITIONS crystal
Pb 0.0000 0.0000 0.0000
C 0.0000 0.5000 0.5000
C 0.5000 0.0000 0.5000
C 0.5000 0.5000 0.0000
Se 0.5000 0.5000 0.5000
CELL_PARAMETERS angstrom
4.0969 0.0000 0.0000
0.0000 4.0969 0.0000
0.0000 0.0000 4.0969


[6]
! PBE Pb3CSe, relaxed; values from VASP
! Fermi-level density of states   0.594 states/eV per atom
! Relative energy among the computed polymorphs   0.000 eV/atom
! SG   Pm-3m
! Calculated total energy   -4.024 eV per atom
! Energy relative to the elements, uncorrected   0.74 eV per atom
! Volume   26.62 A^3/atom
&SYSTEM
  ibrav = 0, nat = 5, ntyp = 3
/
ATOMIC_SPECIES
Pb 207.20 Pb.upf
C 12.01 C.upf
Se 78.96 Se.upf
ATOMIC_POSITIONS crystal
Pb 0.0000 0.0000 0.5000
Pb 0.0000 0.5000 0.0000
Pb 0.5000 0.0000 0.0000
C 0.0000 0.0000 0.0000
Se 0.5000 0.5000 0.5000
CELL_PARAMETERS angstrom
5.1060 0.0000 0.0000
0.0000 5.1060 0.0000
0.0000 0.0000 5.1060


[7]
! PBE Pb2CSe, relaxed; values from VASP
! Fermi-level density of states   0.683 states/eV per atom
! Relative energy among the computed polymorphs   0.430 eV/atom
! SG   Fm-3m
! Calculated total energy   -3.839 eV per atom
! Energy relative to the elements, uncorrected   1.19 eV per atom
! Volume   22.57 A^3/atom
&SYSTEM
  ibrav = 0, nat = 4, ntyp = 3
/
ATOMIC_SPECIES
Pb 207.20 Pb.upf
C 12.01 C.upf
Se 78.96 Se.upf
ATOMIC_POSITIONS crystal
Pb 0.2500 0.2500 0.2500
Pb 0.7500 0.7500 0.7500
C 0.0000 0.0000 0.0000
Se 0.5000 0.5000 0.5000
CELL_PARAMETERS angstrom
0.0000 3.5608 3.5608
3.5608 0.0000 3.5608
3.5608 3.5608 0.0000


[8]
! PBE PbCSe3, relaxed; values from VASP
! Fermi-level density of states   1.838 states/eV per atom
! Relative energy among the computed polymorphs   1.297 eV/atom
! SG   Pm-3m
! Calculated total energy   -2.598 eV per atom
! Energy relative to the elements, uncorrected   2.08 eV per atom
! Volume   32.16 A^3/atom
&SYSTEM
  ibrav = 0, nat = 5, ntyp = 3
/
ATOMIC_SPECIES
Pb 207.20 Pb.upf
C 12.01 C.upf
Se 78.96 Se.upf
ATOMIC_POSITIONS crystal
Pb 0.0000 0.0000 0.0000
C 0.5000 0.5000 0.5000
Se 0.0000 0.0000 0.5000
Se 0.0000 0.5000 0.0000
Se 0.5000 0.0000 0.0000
CELL_PARAMETERS angstrom
5.4381 0.0000 0.0000
0.0000 5.4381 0.0000
0.0000 0.0000 5.4381